# 1
{"formula": "Ba2YTc", "functional": "GGA-PBE", "state": "optimized geometry", "cell": [[4.806, -0.042, 0.025], [2.446, 4.138, 0.025], [2.350, 1.327, 8.381]], "species": ["Ba", "Ba", "Tc", "Y"], "fractional_positions": [[0.964, 0.964, 0.106], [0.785, 0.785, 0.648], [0.543, 0.543, 0.372], [0.208, 0.208, 0.375]], "m_tot_mub_per_atom": 0.00, "dos_ef_per_ev_atom": 1.03, "delta_e_f_ev_per_fu": 1.8}


# 2
{"formula": "GeSe3F", "functional": "GGA-PBE", "state": "optimized geometry", "cell": [[4.964, 0.000, 0.000], [0.000, 4.964, 0.000], [0.000, 0.000, 4.964]], "species": ["Ge", "Se", "Se", "Se", "F"], "fractional_positions": [[0.000, 0.000, 0.000], [0.000, 0.500, 0.000], [0.000, 0.000, 0.500], [0.500, 0.000, 0.000], [0.500, 0.500, 0.500]], "m_tot_mub_per_atom": 0.00, "dos_ef_per_ev_atom": 1.53, "raw_formation_energy_ev_per_atom": 0.406}


# 3
{"formula": "Mg2Sc7Co2", "functional": "GGA-PBE", "state": "optimized geometry", "cell": [[-1.613, 4.842, 7.668], [1.613, -4.842, 7.668], [1.613, 4.842, -7.668]], "species": ["Mg", "Mg", "Sc", "Sc", "Sc", "Sc", "Sc", "Sc", "Sc", "Co", "Co"], "fractional_positions": [[0.710, 0.000, 0.710], [0.422, 0.500, 0.922], [0.723, 0.835, 0.888], [0.124, 0.850, 0.274], [0.055, 0.500, 0.555], [0.766, 0.678, 0.088], [0.410, 0.322, 0.088], [0.052, 0.165, 0.888], [0.425, 0.150, 0.274], [0.272, 0.689, 0.583], [0.895, 0.311, 0.583]], "m_tot_mub_per_atom": 0.00, "dos_ef_per_ev_atom": 1.38, "delta_e_f_ev_per_fu": -1.2}


# 4
{"formula": "Tb2NdH", "functional": "GGA-PBE", "state": "optimized geometry", "cell": [[-1.919, -2.479, 1.277], [2.104, -0.270, 2.638], [-4.664, 5.836, 4.318]], "species": ["Nd", "Tb", "Tb", "H"], "fractional_positions": [[0.500, 0.500, 0.500], [0.000, 0.000, 0.812], [0.000, 0.000, 0.188], [0.500, 0.500, 0.000]], "m_tot_mub_per_atom": 0.00, "dos_ef_per_ev_atom": 0.83, "dft_energy_ev_per_cell": -16.86}


# 5
{"formula": "Y2SbRu", "functional": "GGA-PBE", "state": "optimized geometry", "cell": [[3.458, 0.000, 0.000], [0.000, 3.458, 0.000], [0.000, 0.000, 7.907]], "species": ["Ru", "Sb", "Y", "Y"], "fractional_positions": [[0.500, 0.500, 0.250], [0.500, 0.500, 0.750], [0.000, 0.000, 0.039], [0.000, 0.000, 0.461]], "m_tot_mub_per_atom": 0.00, "dos_ef_per_ev_atom": 0.43, "raw_formation_energy_ev_per_atom": -0.579}


# 6
{"formula": "Ca2TeIrPb", "functional": "GGA-PBE", "state": "optimized geometry", "cell": [[5.530, 0.000, 0.000], [0.000, 5.530, 0.000], [0.000, 0.000, 5.127]], "species": ["Pb", "Ca", "Ca", "Ir", "Te"], "fractional_positions": [[0.000, 0.000, 0.500], [0.000, 0.500, 0.000], [0.500, 0.000, 0.000], [0.000, 0.000, 0.000], [0.500, 0.500, 0.500]], "m_tot_mub_per_atom": 0.00, "dos_ef_per_ev_atom": 0.29, "raw_formation_energy_ev_per_atom": -0.536}


# 7
{"formula": "NbTeF2", "functional": "GGA-PBE", "state": "optimized geometry", "cell": [[0.000, 3.137, 3.137], [3.137, 0.000, 3.137], [3.137, 3.137, 0.000]], "species": ["Nb", "Te", "F", "F"], "fractional_positions": [[0.000, 0.000, 0.000], [0.500, 0.500, 0.500], [0.250, 0.250, 0.250], [0.750, 0.750, 0.750]], "m_tot_mub_per_atom": 0.22, "dos_ef_per_ev_atom": 0.82, "raw_formation_energy_ev_per_atom": -0.692}


# 8
{"formula": "CsAu", "functional": "GGA-PBE", "state": "optimized geometry", "cell": [[-5.279, -2.205, -2.528], [3.987, -3.908, 2.821], [-3.483, 1.041, 6.366]], "species": ["Cs", "Cs", "Au", "Au"], "fractional_positions": [[0.333, 0.667, 0.750], [0.667, 0.333, 0.250], [0.333, 0.667, 0.250], [0.667, 0.333, 0.750]], "m_tot_mub_per_atom": 0.00, "dos_ef_per_ev_atom": 0.00, "delta_e_f_ev_per_fu": -0.6}


# 9
{"formula": "LiHf3O", "functional": "GGA-PBE", "state": "optimized geometry", "cell": [[4.417, 0.000, 0.000], [0.000, 4.417, 0.000], [0.000, 0.000, 4.417]], "species": ["Hf", "Hf", "Hf", "O", "Li"], "fractional_positions": [[0.000, 0.500, 0.000], [0.000, 0.000, 0.500], [0.500, 0.000, 0.000], [0.000, 0.000, 0.000], [0.500, 0.500, 0.500]], "m_tot_mub_per_atom": 0.00, "dos_ef_per_ev_atom": 0.67, "raw_formation_energy_ev_per_atom": -0.800}


# 10
{"formula": "K2PRu2", "functional": "GGA-PBE", "state": "optimized geometry", "cell": [[-3.056, -0.627, -2.189], [2.261, -0.400, -3.041], [0.140, -7.927, -1.241]], "species": ["Ru", "Ru", "K", "K", "P"], "fractional_positions": [[0.424, 0.424, 0.152], [0.576, 0.576, 0.848], [0.750, 0.250, 0.500], [0.250, 0.750, 0.500], [0.000, 0.000, 0.000]], "m_tot_mub_per_atom": 0.64, "dos_ef_per_ev_atom": 1.11, "delta_e_f_ev_per_fu": 8.1}


# 11
{"formula": "Dy3HgIr", "functional": "GGA-PBE", "state": "optimized geometry", "cell": [[4.759, 0.000, 0.000], [0.000, 7.267, 0.000], [0.000, 0.000, 14.987]], "species": ["Dy", "Dy", "Dy", "Dy", "Dy", "Dy", "Dy", "Dy", "Dy", "Dy", "Dy", "Dy", "Hg", "Hg", "Hg", "Hg", "Ir", "Ir", "Ir", "Ir"], "fractional_positions": [[0.250, 0.368, 0.546], [0.750, 0.813, 0.223], [0.750, 0.486, 0.901], [0.750, 0.986, 0.599], [0.750, 0.632, 0.454], [0.250, 0.014, 0.401], [0.250, 0.868, 0.954], [0.750, 0.313, 0.277], [0.250, 0.687, 0.723], [0.250, 0.187, 0.777], [0.750, 0.132, 0.046], [0.250, 0.514, 0.099], [0.750, 0.904, 0.815], [0.250, 0.096, 0.185], [0.750, 0.404, 0.685], [0.250, 0.596, 0.315], [0.250, 0.270, 0.955], [0.250, 0.770, 0.545], [0.750, 0.230, 0.455], [0.750, 0.730, 0.045]], "m_tot_mub_per_atom": 0.00, "dos_ef_per_ev_atom": 0.72, "delta_e_f_ev_per_fu": -3.1}


# 12
{"formula": "Li2AcAlPt4", "functional": "GGA-PBE", "state": "optimized geometry", "cell": [[4.303, 0.000, 0.000], [2.151, 3.726, 0.000], [2.151, 1.242, 8.771]], "species": ["Li", "Li", "Ac", "Al", "Pt", "Pt", "Pt", "Pt"], "fractional_positions": [[0.765, 0.765, 0.705], [0.235, 0.235, 0.295], [0.000, 0.000, 0.000], [0.500, 0.500, 0.500], [0.404, 0.404, 0.787], [0.866, 0.866, 0.403], [0.134, 0.134, 0.597], [0.596, 0.596, 0.213]], "m_tot_mub_per_atom": 0.00, "dos_ef_per_ev_atom": 0.41, "delta_e_f_ev_per_fu": -6.8}


# 13
{"formula": "CaSmPb2Se4", "functional": "GGA-PBE", "state": "optimized geometry", "cell": [[-0.211, 2.659, 3.414], [-4.491, -4.786, 3.449], [4.148, -4.905, 4.077]], "species": ["Ca", "Sm", "Pb", "Pb", "Se", "Se", "Se", "Se"], "fractional_positions": [[0.500, 0.500, 0.000], [0.000, 0.500, 0.500], [0.000, 0.000, 0.000], [0.500, 0.000, 0.500], [0.000, 0.734, 0.752], [0.000, 0.266, 0.248], [0.500, 0.734, 0.259], [0.500, 0.266, 0.741]], "m_tot_mub_per_atom": 0.00, "dos_ef_per_ev_atom": 0.53, "raw_formation_energy_ev_per_atom": -1.168}


# 14
{"formula": "CoMo2", "functional": "GGA-PBE", "state": "optimized geometry", "cell": [[4.837, -0.002, 0.000], [-2.469, 4.160, 0.000], [-1.184, -2.079, 4.204]], "species": ["Co", "Co", "Mo", "Mo", "Mo", "Mo"], "fractional_positions": [[0.250, 0.250, 0.000], [0.750, 0.750, 0.000], [0.156, 0.344, 0.500], [0.344, 0.844, 0.188], [0.656, 0.156, 0.812], [0.844, 0.656, 0.500]], "m_tot_mub_per_atom": 0.00, "dos_ef_per_ev_atom": 1.19, "delta_e_f_ev_per_fu": 0.0}


# 15
{"formula": "Mg2NpSn", "functional": "GGA-PBE", "state": "optimized geometry", "cell": [[-0.119, 4.192, 2.377], [-4.412, 0.354, -0.846], [-0.910, -2.196, 3.828]], "species": ["Np", "Mg", "Mg", "Sn"], "fractional_positions": [[0.500, 0.500, 0.500], [0.000, 0.000, 0.500], [0.000, 0.500, 0.000], [0.500, 0.000, 0.000]], "m_tot_mub_per_atom": 1.11, "dos_ef_per_ev_atom": 2.75, "delta_e_f_ev_per_fu": 0.2}


# 16
{"formula": "CaAsO4", "functional": "GGA-PBE", "state": "optimized geometry", "cell": [[5.137, 0.000, 0.000], [0.000, 5.137, 0.000], [-2.569, -2.569, 5.875]], "species": ["Ca", "Ca", "As", "As", "O", "O", "O", "O", "O", "O", "O", "O"], "fractional_positions": [[0.000, 0.000, 0.000], [0.750, 0.250, 0.500], [0.500, 0.500, 0.000], [0.250, 0.750, 0.500], [0.034, 0.921, 0.344], [0.172, 0.284, 0.844], [0.671, 0.559, 0.844], [0.309, 0.422, 0.344], [0.441, 0.828, 0.156], [0.079, 0.691, 0.656], [0.578, 0.966, 0.656], [0.716, 0.329, 0.156]], "m_tot_mub_per_atom": 0.17, "dos_ef_per_ev_atom": 0.52, "raw_formation_energy_ev_per_atom": -1.721}


# 17
{"formula": "Rb2NpU2S6", "functional": "GGA-PBE", "state": "optimized geometry", "cell": [[7.034, -0.031, 0.069], [-3.504, 6.100, 0.069], [-1.246, -2.142, 7.825]], "species": ["Rb", "Rb", "Np", "U", "U", "S", "S", "S", "S", "S", "S"], "fractional_positions": [[0.834, 0.166, 0.000], [0.166, 0.834, 0.000], [0.000, 0.000, 0.500], [0.334, 0.666, 0.500], [0.666, 0.334, 0.500], [0.724, 0.724, 0.687], [0.059, 0.401, 0.686], [0.276, 0.276, 0.313], [0.401, 0.059, 0.686], [0.941, 0.599, 0.314], [0.599, 0.941, 0.314]], "m_tot_mub_per_atom": 0.07, "dos_ef_per_ev_atom": 1.30, "raw_formation_energy_ev_per_atom": -1.387}


# 18
{"formula": "ZnSiTe2", "functional": "GGA-PBE", "state": "optimized geometry", "cell": [[4.096, 0.000, 0.000], [0.000, 7.067, -0.010], [0.000, 4.711, 3.324]], "species": ["Si", "Te", "Te", "Zn"], "fractional_positions": [[0.000, 0.000, 0.500], [0.000, 0.000, 0.000], [0.500, 0.500, 0.000], [0.500, 0.500, 0.500]], "m_tot_mub_per_atom": 0.00, "dos_ef_per_ev_atom": 0.16, "raw_formation_energy_ev_per_atom": -0.005}


# 19
{"formula": "Sn2BiBr8", "functional": "GGA-PBE", "state": "optimized geometry", "cell": [[7.667, -0.007, 1.928], [1.942, 7.524, 2.293], [0.478, 0.241, 8.084]], "species": ["Sn", "Sn", "Bi", "Br", "Br", "Br", "Br", "Br", "Br", "Br", "Br"], "fractional_positions": [[0.805, 0.656, 0.656], [0.195, 0.344, 0.344], [0.000, 0.000, 0.000], [0.758, 0.955, 0.351], [0.242, 0.649, 0.045], [0.763, 0.878, 0.878], [0.237, 0.122, 0.122], [0.758, 0.351, 0.955], [0.242, 0.045, 0.649], [0.167, 0.577, 0.577], [0.833, 0.423, 0.423]], "m_tot_mub_per_atom": 0.00, "dos_ef_per_ev_atom": 0.67, "raw_formation_energy_ev_per_atom": -0.648}


# 20
{"formula": "Na2DyAgI6", "functional": "GGA-PBE", "state": "optimized geometry", "cell": [[-5.304, -2.967, 5.070], [-6.145, -4.203, -2.707], [0.253, -8.703, 1.352]], "species": ["Na", "Na", "Dy", "Ag", "I", "I", "I", "I", "I", "I"], "fractional_positions": [[0.526, 0.526, 0.421], [0.008, 0.008, 0.975], [0.331, 0.331, 0.008], [0.746, 0.747, 0.762], [0.588, 0.249, 0.214], [0.250, 0.949, 0.214], [0.949, 0.588, 0.215], [0.419, 0.726, 0.736], [0.726, 0.120, 0.735], [0.120, 0.419, 0.736]], "m_tot_mub_per_atom": 0.00, "dos_ef_per_ev_atom": 0.00, "raw_formation_energy_ev_per_atom": -1.095}


# 21
{"formula": "Ac4HgPtN", "functional": "GGA-PBE", "state": "optimized geometry", "cell": [[7.295, 0.000, 0.076], [0.000, 7.588, 0.000], [-2.771, 0.000, 8.487]], "species": ["Ac", "Ac", "Ac", "Ac", "Ac", "Ac", "Ac", "Ac", "Hg", "Hg", "Pt", "Pt", "N", "N"], "fractional_positions": [[0.998, 0.492, 0.725], [0.002, 0.992, 0.275], [0.002, 0.508, 0.275], [0.998, 0.008, 0.725], [0.435, 0.750, 0.141], [0.565, 0.250, 0.859], [0.440, 0.750, 0.578], [0.560, 0.250, 0.422], [0.767, 0.750, 0.939], [0.233, 0.250, 0.061], [0.783, 0.750, 0.451], [0.217, 0.250, 0.549], [0.233, 0.750, 0.309], [0.767, 0.250, 0.691]], "m_tot_mub_per_atom": 0.00, "dos_ef_per_ev_atom": 0.79, "raw_formation_energy_ev_per_atom": -0.790}


# 22
{"formula": "Ca2LaSe2", "functional": "GGA-PBE", "state": "optimized geometry", "cell": [[8.164, 0.000, 0.000], [0.000, 8.164, 0.000], [0.000, 0.000, 4.049]], "species": ["Ca", "Ca", "Ca", "Ca", "Se", "Se", "Se", "Se", "La", "La"], "fractional_positions": [[0.154, 0.654, 0.500], [0.654, 0.846, 0.500], [0.846, 0.346, 0.500], [0.346, 0.154, 0.500], [0.347, 0.847, 0.000], [0.847, 0.653, 0.000], [0.653, 0.153, 0.000], [0.153, 0.347, 0.000], [0.000, 0.000, 0.000], [0.500, 0.500, 0.000]], "m_tot_mub_per_atom": 0.00, "dos_ef_per_ev_atom": 0.91, "raw_formation_energy_ev_per_atom": -1.363}


# 23
{"formula": "Pr3MnB2Pt9", "functional": "GGA-PBE", "state": "optimized geometry", "cell": [[5.835, 0.000, 0.000], [-2.917, 5.053, 0.000], [0.000, 0.000, 9.319]], "species": ["Pr", "Pr", "Pr", "Mn", "B", "B", "Pt", "Pt", "Pt", "Pt", "Pt", "Pt", "Pt", "Pt", "Pt"], "fractional_positions": [[0.333, 0.667, 0.607], [0.000, 0.000, 0.000], [0.667, 0.333, 0.393], [0.000, 0.000, 0.500], [0.333, 0.667, 0.148], [0.667, 0.333, 0.852], [0.835, 0.165, 0.714], [0.835, 0.670, 0.714], [0.330, 0.165, 0.714], [0.670, 0.835, 0.286], [0.165, 0.330, 0.286], [0.165, 0.835, 0.286], [0.500, 0.000, 0.000], [0.000, 0.500, 0.000], [0.500, 0.500, 0.000]], "m_tot_mub_per_atom": 0.29, "dos_ef_per_ev_atom": 0.20, "delta_e_f_ev_per_fu": -11.2}


# 24
{"formula": "Er6CdFe", "functional": "GGA-PBE", "state": "optimized geometry", "cell": [[6.096, 0.272, 0.000], [1.713, 7.619, 0.000], [0.856, 3.809, 5.038]], "species": ["Er", "Er", "Er", "Er", "Er", "Er", "Cd", "Fe"], "fractional_positions": [[0.784, 0.563, 0.636], [0.784, 0.200, 0.364], [0.216, 0.800, 0.636], [0.216, 0.437, 0.364], [0.637, 0.775, 0.000], [0.363, 0.225, 0.000], [0.000, 0.000, 0.000], [0.500, 0.500, 0.000]], "m_tot_mub_per_atom": 0.00, "dos_ef_per_ev_atom": 1.40, "delta_e_f_ev_per_fu": 0.7}


# 25
{"formula": "LiCoSeN2", "functional": "GGA-PBE", "state": "optimized geometry", "cell": [[3.578, 0.000, 0.000], [0.000, 3.578, 0.000], [0.000, 0.000, 5.232]], "species": ["Li", "Co", "Se", "N", "N"], "fractional_positions": [[0.500, 0.500, 0.500], [0.000, 0.000, 0.000], [0.000, 0.000, 0.500], [0.000, 0.500, 0.000], [0.500, 0.000, 0.000]], "m_tot_mub_per_atom": 0.03, "dos_ef_per_ev_atom": 0.74, "raw_formation_energy_ev_per_atom": 0.616}